Below is crystalline Sm3CBr3 at its relaxed geometry, with properties calculated at the PBE level.

a = 3.865 Å, b = 8.475 Å, c = 11.469 Å
α = 92.56°, β = 90.00°, γ = 90.00°
Fractional coordinates of all 14 atoms:
Br 0.250 0.376 0.874
C 0.250 0.877 0.380
Br 0.250 0.380 0.368
Br 0.250 0.862 0.876
Br 0.750 0.138 0.124
Br 0.750 0.624 0.126
Sm 0.250 0.312 0.620
C 0.750 0.123 0.620
Sm 0.250 0.911 0.607
Sm 0.250 0.882 0.167
Br 0.750 0.620 0.632
Sm 0.750 0.118 0.833
Sm 0.750 0.688 0.380
Sm 0.750 0.089 0.393

The energy above the most stable polymorph in this dataset is 0 meV/atom. The calculation puts the density of states at the Fermi level at 3.3 states/eV/cell. Its uncorrected formation energy is -1.305 eV/atom.